VASP calculation (PBE) on an optimized crystal structure of AcErPt2.

Cell: 3.611 3.611 7.285 Å, 90.00 90.00 90.00°
Fractional coordinates of all 4 atoms:
Ac1 0.500 0.500 0.000
Pt1 0.000 0.000 0.715
Pt2 0.000 0.000 0.285
Er1 0.500 0.500 0.500

Output
The total energy comes out at -6.30 eV per atom. The density of states at the Fermi level is 2.7 states/eV/cell. The value obtained for the energy of formation from the pure elements is -1.108 eV/atom. Its mass density is 13.709 g/cm³.


VASP calculation (PBE) on an optimized crystal structure of CsNp2HgI8.

Cell: 8.617 8.617 8.829 Å, 90.00 90.00 120.00°
Last column: magnetic moment on the atom in μB.
Fractional coordinates of all 12 atoms:
I1 0.339 0.946 0.161  -0.07
I2 0.333 0.667 0.581  -0.07
I3 0.393 0.339 0.839  -0.07
I4 0.661 0.054 0.839  -0.07
I5 0.946 0.607 0.839  -0.07
I6 0.667 0.333 0.419  -0.07
I7 0.607 0.661 0.161  -0.07
I8 0.054 0.393 0.161  -0.07
Np1 0.667 0.333 0.078  3.78
Np2 0.333 0.667 0.922  3.78
Cs1 0.000 0.000 0.500  0.00
Hg1 0.000 0.000 0.000  -0.08

Output
The total energy comes out at -4.09 eV per atom. The density of states at the Fermi level is 15.0 states/eV/cell. Its uncorrected formation energy is -78 kJ per mole of atoms. Its mass density is 5.331 g/cm³.


VASP calculation (PBE) on an optimized crystal structure of SiBiF3.

Cell: 4.375 4.375 4.375 Å, 90.00 90.00 90.00°
Last column: magnetic moment on the atom in μB.
Fractional coordinates of all 5 atoms:
F1 0.500 0.000 0.000  0.04
F2 0.000 0.000 0.500  0.10
F3 0.000 0.500 0.000  0.05
Si1 0.000 0.000 0.000  0.05
Bi1 0.500 0.500 0.500  0.76

Output
The total energy comes out at -4.12 eV per atom. The density of states at the Fermi level is 3.3 states/eV/cell. Its uncorrected formation energy is -110 kJ per mole of atoms. Its mass density is 5.832 g/cm³.


VASP calculation (PBE) on an optimized crystal structure of SmHo12Er2.

Cell: 6.573 6.573 24.675 Å, 96.58 96.58 114.84°
Fractional coordinates of all 30 atoms:
Ho1 0.395 0.895 0.862
Ho2 0.498 0.498 0.330
Ho3 0.998 0.998 0.330
Ho4 0.558 0.558 0.075
Ho5 0.833 0.833 0.445
Ho6 0.105 0.605 0.138
Ho7 0.318 0.818 0.425
Ho8 0.058 0.058 0.075
Ho9 0.097 0.097 0.798
Ho10 0.667 0.667 0.555
Ho11 0.333 0.333 0.445
Ho12 0.182 0.682 0.575
Ho13 0.403 0.403 0.202
Ho14 0.818 0.318 0.425
Ho15 0.942 0.942 0.925
Ho16 0.002 0.002 0.670
Ho17 0.597 0.597 0.798
Ho18 0.903 0.903 0.202
Ho19 0.442 0.442 0.925
Ho20 0.167 0.167 0.555
Ho21 0.682 0.182 0.575
Ho22 0.895 0.395 0.862
Ho23 0.605 0.105 0.138
Ho24 0.502 0.502 0.670
Er1 0.454 0.954 0.272
Er2 0.546 0.046 0.728
Er3 0.046 0.546 0.728
Er4 0.954 0.454 0.272
Sm1 0.000 0.500 0.000
Sm2 0.500 0.000 0.000

Output
The total energy comes out at -4.47 eV per atom. The density of states at the Fermi level is 47.7 states/eV/cell. The value obtained for the energy of formation from the pure elements is 0.116 eV/atom. Its mass density is 8.657 g/cm³.


VASP calculation (PBE) on an optimized crystal structure of Nb3IrRh5.

Cell: 7.453 7.453 7.568 Å, 119.50 119.50 90.00°
Fractional coordinates of all 18 atoms:
Rh1 0.664 0.164 0.734
Rh2 0.336 0.836 0.266
Rh3 0.500 0.500 0.000
Rh4 0.430 0.336 0.266
Rh5 0.570 0.664 0.734
Rh6 0.070 0.570 0.734
Rh7 0.930 0.430 0.266
Rh8 0.164 0.070 0.734
Rh9 0.836 0.930 0.266
Rh10 0.000 0.000 0.000
Nb1 0.617 0.117 0.000
Nb2 0.117 0.383 0.000
Nb3 0.883 0.617 0.000
Nb4 0.250 0.250 0.500
Nb5 0.750 0.750 0.500
Nb6 0.383 0.883 0.000
Ir1 0.750 0.250 0.500
Ir2 0.250 0.750 0.500

Output
The total energy comes out at -8.26 eV per atom. The density of states at the Fermi level is 21.6 states/eV/cell. The value obtained for the energy of formation from the pure elements is 0.168 eV/atom. Its mass density is 10.846 g/cm³.


VASP calculation (PBE) on an optimized crystal structure of NpTl2SnSe4.

Cell: 4.260 7.953 7.500 Å, 72.45 90.00 90.00°
Last column: magnetic moment on the atom in μB.
Fractional coordinates of all 8 atoms:
Np1 0.000 0.500 0.500  3.44
Se1 0.000 0.293 0.254  -0.08
Se2 0.500 0.297 0.722  -0.08
Se3 0.000 0.707 0.746  -0.08
Se4 0.500 0.703 0.278  -0.08
Sn1 0.500 0.500 0.000  -0.02
Tl1 0.500 0.000 0.500  -0.01
Tl2 0.000 0.000 0.000  -0.01

Output
The total energy comes out at -5.14 eV per atom. The density of states at the Fermi level is 7.4 states/eV/cell. Its uncorrected formation energy is -67 kJ per mole of atoms. Its mass density is 7.405 g/cm³.


VASP calculation (PBE) on an optimized crystal structure of Th4CoPd2.

Cell: 7.995 7.462 7.714 Å, 109.82 112.51 106.26°
Fractional coordinates of all 14 atoms:
Co1 0.005 0.005 0.008
Co2 0.246 0.746 0.492
Th1 0.889 0.632 0.150
Th2 0.990 0.233 0.350
Th3 0.779 0.126 0.760
Th4 0.484 0.753 0.845
Th5 0.269 0.115 0.740
Th6 0.354 0.499 0.261
Th7 0.342 0.987 0.239
Th8 0.889 0.658 0.655
Pd1 0.717 0.862 0.347
Pd2 0.531 0.382 0.645
Pd3 0.137 0.487 0.855
Pd4 0.619 0.264 0.153

Output
The total energy comes out at -7.23 eV per atom. The density of states at the Fermi level is 15.4 states/eV/cell. The value obtained for the energy of formation from the pure elements is -0.486 eV/atom. Its mass density is 11.300 g/cm³.


VASP calculation (PBE) on an optimized crystal structure of ScMnIr4.

Cell: 5.202 5.202 5.202 Å, 60.00 60.00 60.00°
Last column: magnetic moment on the atom in μB.
Fractional coordinates of all 6 atoms:
Ir1 0.375 0.375 0.875  0.15
Ir2 0.875 0.375 0.375  0.15
Ir3 0.375 0.875 0.375  0.15
Ir4 0.375 0.375 0.375  0.15
Mn1 0.750 0.750 0.750  4.04
Sc1 0.000 0.000 0.000  0.01

Output
The total energy comes out at -8.78 eV per atom. The density of states at the Fermi level is 6.0 states/eV/cell. The value obtained for the energy of formation from the pure elements is -0.292 eV/atom. Its mass density is 14.497 g/cm³.


VASP calculation (PBE) on an optimized crystal structure of PrDy4Ho4.

Cell: 5.013 7.948 7.948 Å, 84.29 71.62 71.62°
Fractional coordinates of all 9 atoms:
Pr1 0.000 0.000 0.000
Ho1 0.668 0.000 0.665
Ho2 0.668 0.665 0.000
Ho3 0.332 0.000 0.335
Ho4 0.332 0.335 0.000
Dy1 0.666 0.334 0.334
Dy2 0.334 0.666 0.666
Dy3 0.000 0.666 0.334
Dy4 0.000 0.334 0.666

Output
The total energy comes out at -4.59 eV per atom. The density of states at the Fermi level is 13.0 states/eV/cell. The value obtained for the energy of formation from the pure elements is 0.021 eV/atom. Its mass density is 8.446 g/cm³.


VASP calculation (PBE) on an optimized crystal structure of TlFeAgBr5.

Cell: 8.086 8.086 9.346 Å, 102.43 102.43 105.88°
Last column: magnetic moment on the atom in μB.
Fractional coordinates of all 16 atoms:
Ag1 0.000 0.000 0.500  0.05
Ag2 0.000 0.000 0.000  0.05
Br1 0.098 0.653 0.870  0.18
Br2 0.902 0.347 0.130  0.18
Br3 0.730 0.601 0.440  0.20
Br4 0.915 0.085 0.750  0.04
Br5 0.601 0.730 0.940  0.20
Br6 0.085 0.915 0.250  0.04
Br7 0.399 0.270 0.060  0.20
Br8 0.347 0.902 0.630  0.18
Br9 0.653 0.098 0.370  0.18
Br10 0.270 0.399 0.560  0.20
Tl1 0.666 0.334 0.750  0.02
Tl2 0.334 0.666 0.250  0.02
Fe1 0.671 0.329 0.250  3.64
Fe2 0.329 0.671 0.750  3.64

Output
The total energy comes out at -3.31 eV per atom. Its uncorrected formation energy is -53 kJ per mole of atoms. Its mass density is 4.643 g/cm³.


VASP calculation (PBE) on an optimized crystal structure of Mo2PCl.

Cell: 3.578 3.578 7.742 Å, 64.01 64.01 56.84°
Fractional coordinates of all 4 atoms:
Mo1 0.974 0.974 0.919
Mo2 0.526 0.526 0.581
P1 0.750 0.750 0.750
Cl1 0.250 0.250 0.250

Output
The total energy comes out at -7.26 eV per atom. The density of states at the Fermi level is 3.3 states/eV/cell. Its uncorrected formation energy is -3 kJ per mole of atoms. Its mass density is 5.962 g/cm³.


VASP calculation (PBE) on an optimized crystal structure of Pr3HoTl4.

Cell: 3.864 3.864 15.831 Å, 90.00 90.00 90.00°
Fractional coordinates of all 8 atoms:
Pr1 0.500 0.500 0.500
Pr2 0.500 0.500 0.757
Pr3 0.500 0.500 0.243
Tl1 0.000 0.000 0.629
Tl2 0.000 0.000 0.371
Tl3 0.000 0.000 0.887
Tl4 0.000 0.000 0.113
Ho1 0.500 0.500 0.000

Output
The total energy comes out at -3.93 eV per atom. The density of states at the Fermi level is 5.9 states/eV/cell. The value obtained for the energy of formation from the pure elements is -0.384 eV/atom. Its mass density is 9.874 g/cm³.


VASP calculation (PBE) on an optimized crystal structure of K2CaW.

Cell: 6.117 7.459 3.066 Å, 78.83 88.35 113.84°
Last column: magnetic moment on the atom in μB.
Fractional coordinates of all 4 atoms:
W1 0.000 0.500 0.500  0.99
K1 0.500 0.000 0.500  0.00
K2 0.000 0.000 0.000  0.00
Ca1 0.500 0.500 0.000  -0.02

Output
The total energy comes out at -2.92 eV per atom. The density of states at the Fermi level is 3.2 states/eV/cell. The value obtained for the energy of formation from the pure elements is 1.372 eV/atom. Its mass density is 4.025 g/cm³.


VASP calculation (PBE) on an optimized crystal structure of Sr3MnI2Cl6.

Cell: 6.865 8.386 8.390 Å, 119.98 84.63 90.00°
Last column: magnetic moment on the atom in μB.
Fractional coordinates of all 12 atoms:
Sr1 0.500 0.500 0.500  0.00
Sr2 0.500 0.000 0.500  0.00
Sr3 0.000 0.500 0.000  0.01
Cl1 0.689 0.846 0.692  0.03
Cl2 0.311 0.154 0.308  0.03
Cl3 0.287 0.696 0.872  0.03
Cl4 0.287 0.177 0.872  0.03
Cl5 0.713 0.823 0.128  0.03
Cl6 0.713 0.304 0.128  0.03
I1 0.169 0.699 0.398  0.00
I2 0.831 0.301 0.602  0.00
Mn1 0.500 0.000 0.000  4.46

Output
The total energy comes out at -4.23 eV per atom. The density of states at the Fermi level is 0.0 states/eV/cell. Its uncorrected formation energy is -179 kJ per mole of atoms. Its mass density is 3.131 g/cm³.


VASP calculation (PBE) on an optimized crystal structure of Te4IrRu.

Cell: 6.014 6.014 6.014 Å, 60.00 60.00 60.00°
Last column: magnetic moment on the atom in μB.
Fractional coordinates of all 6 atoms:
Te1 0.375 0.874 0.375  0.04
Te2 0.874 0.375 0.375  0.04
Te3 0.375 0.375 0.375  0.04
Te4 0.375 0.375 0.874  0.04
Ir1 0.750 0.750 0.750  0.68
Ru1 0.000 0.000 0.000  2.23

Output
The total energy comes out at -3.50 eV per atom. The density of states at the Fermi level is 8.5 states/eV/cell. Its uncorrected formation energy is 156 kJ per mole of atoms. Its mass density is 8.678 g/cm³.


VASP calculation (PBE) on an optimized crystal structure of KBaLi.

Cell: 8.615 8.616 4.403 Å, 75.18 75.21 29.61°
Fractional coordinates of all 3 atoms:
Ba1 0.027 0.027 0.973
Li1 0.665 0.665 0.335
K1 0.308 0.308 0.692

Output
The total energy comes out at -1.53 eV per atom. The density of states at the Fermi level is 3.3 states/eV/cell. The value obtained for the energy of formation from the pure elements is 0.116 eV/atom. Its mass density is 1.955 g/cm³.


VASP calculation (PBE) on an optimized crystal structure of Ta2MoHOs.

Cell: 4.476 4.476 3.433 Å, 90.00 90.00 90.00°
Fractional coordinates of all 5 atoms:
Ta1 0.500 0.000 0.000
Ta2 0.000 0.500 0.000
Mo1 0.000 0.000 0.500
Os1 0.500 0.500 0.500
H1 0.000 0.000 0.000

Output
The total energy comes out at -9.92 eV per atom. The density of states at the Fermi level is 3.7 states/eV/cell. Its mass density is 15.669 g/cm³.


VASP calculation (PBE) on an optimized crystal structure of CsZnHg4.

Cell: 6.549 6.549 6.549 Å, 60.00 60.00 60.00°
Fractional coordinates of all 6 atoms:
Hg1 0.129 0.624 0.624
Hg2 0.624 0.624 0.624
Hg3 0.624 0.624 0.129
Hg4 0.624 0.129 0.624
Zn1 0.250 0.250 0.250
Cs1 0.000 0.000 0.000

Output
The total energy comes out at -0.58 eV per atom. The density of states at the Fermi level is 4.1 states/eV/cell. The value obtained for the energy of formation from the pure elements is -0.028 eV/atom. Its mass density is 8.364 g/cm³.


VASP calculation (PBE) on an optimized crystal structure of Sr4AcMg5.

Cell: 4.174 4.174 20.794 Å, 90.00 90.00 90.00°
Fractional coordinates of all 10 atoms:
Mg1 0.500 0.500 0.500
Mg2 0.500 0.500 0.299
Mg3 0.500 0.500 0.903
Mg4 0.500 0.500 0.097
Mg5 0.500 0.500 0.701
Sr1 0.000 0.000 0.399
Sr2 0.000 0.000 0.601
Sr3 0.000 0.000 0.802
Sr4 0.000 0.000 0.198
Ac1 0.000 0.000 0.000

Output
The total energy comes out at -1.94 eV per atom. The density of states at the Fermi level is 10.1 states/eV/cell. The value obtained for the energy of formation from the pure elements is -0.060 eV/atom. Its mass density is 3.204 g/cm³.